(1)
VASP calculation (meta-GGA SCAN) on TlTc2W at its PBEsol-relaxed geometry.

Summary:
M_tot   0.00 μB per formula unit
Formation enthalpy at 0 K   197 kJ/mol of formula units
E_tot   -1.931 hartree per atom

a b c (Å): 2.867 4.027 5.646
angles (deg): 90.00 90.26 90.00
Atoms (fractional coordinates):
Tl 0.000 0.000 0.000
Tc 0.501 0.500 0.720
Tc 0.981 0.000 0.506
W 0.509 0.500 0.296

***

(2)
VASP calculation (meta-GGA SCAN) on TlTc2W at its PBEsol-relaxed geometry.

Summary:
M_tot   0.00 μB per formula unit
Formation enthalpy at 0 K   188 kJ/mol of formula units
E_tot   -1.931 hartree per atom

a b c (Å): 2.849 2.849 8.015
angles (deg): 90.00 90.00 90.00
Atoms (fractional coordinates):
Tl 0.000 0.000 0.000
Tc 0.000 0.000 0.522
Tc 0.500 0.500 0.727
W 0.500 0.500 0.288

***

(3)
VASP calculation (meta-GGA SCAN) on Y2Tl2Tc at its PBEsol-relaxed geometry.

Summary:
M_tot   1.21 μB per formula unit
Formation enthalpy at 0 K   325 kJ/mol of formula units
E_tot   -1.706 hartree per atom

a b c (Å): 7.679 7.679 7.679
angles (deg): 148.56 148.56 45.06
Atoms (fractional coordinates):
Y 0.250 0.750 0.500
Y 0.750 0.250 0.500
Tl 0.093 0.093 0.000
Tl 0.907 0.907 0.000
Tc 0.500 0.500 0.000

***

(4)
VASP calculation (meta-GGA SCAN) on YTl2Tc2 at its PBEsol-relaxed geometry.

Summary:
M_tot   0.00 μB per formula unit
Formation enthalpy at 0 K   119 kJ/mol of formula units
E_tot   -1.775 hartree per atom

a b c (Å): 8.963 8.963 8.963
angles (deg): 157.26 157.26 32.37
Atoms (fractional coordinates):
Y 0.000 0.000 0.000
Tl 0.383 0.383 0.000
Tl 0.617 0.617 0.000
Tc 0.250 0.750 0.500
Tc 0.750 0.250 0.500

***

(5)
VASP calculation (meta-GGA SCAN) on Tl2ZnTc at its PBEsol-relaxed geometry.

Summary:
M_tot   1.43 μB per formula unit
Formation enthalpy at 0 K   200 kJ/mol of formula units
E_tot   -1.757 hartree per atom

a b c (Å): 5.607 5.607 4.855
angles (deg): 108.45 108.45 31.90
Atoms (fractional coordinates):
Tl 0.000 0.000 0.000
Tl 0.214 0.214 0.632
Zn 0.775 0.775 0.181
Tc 0.465 0.465 0.487

***

(6)
VASP calculation (meta-GGA SCAN) on Tl2ZnTc at its PBEsol-relaxed geometry.

Summary:
M_tot   0.00 μB per formula unit
Formation enthalpy at 0 K   272 kJ/mol of formula units
E_tot   -1.750 hartree per atom

a b c (Å): 5.106 5.106 5.277
angles (deg): 97.28 97.28 33.64
Atoms (fractional coordinates):
Tl 0.241 0.241 0.244
Tl 0.759 0.759 0.756
Zn 0.000 0.000 0.500
Tc 0.500 0.500 0.000

***

(7)
VASP calculation (meta-GGA SCAN) on TlZnTc2 at its PBEsol-relaxed geometry.

Summary:
M_tot   0.00 μB per formula unit
Formation enthalpy at 0 K   197 kJ/mol of formula units
E_tot   -1.414 hartree per atom

a b c (Å): 2.818 2.818 9.358
angles (deg): 90.00 90.00 116.03
Atoms (fractional coordinates):
Tl 0.000 0.000 0.000
Zn 0.500 0.500 0.718
Tc 0.000 0.000 0.489
Tc 0.500 0.500 0.274

***

(8)
VASP calculation (meta-GGA SCAN) on Tl2ZnTc at its PBEsol-relaxed geometry.

Summary:
M_tot   0.00 μB per formula unit
Formation enthalpy at 0 K   210 kJ/mol of formula units
E_tot   -1.756 hartree per atom

a b c (Å): 5.557 5.557 5.557
angles (deg): 142.92 133.64 60.79
Atoms (fractional coordinates):
Tl 0.000 0.000 0.000
Tl 0.728 0.228 0.500
Zn 0.459 0.459 0.000
Tc 0.257 0.757 0.500